No. 1
# GGA-PBE Zr2Se, relaxed
data_Zr2Se
_space_group_name_H-M_alt 'P 1'
_space_group_IT_number 1
_cell_length_a 7.212
_cell_length_b 7.212
_cell_length_c 5.452
_cell_angle_alpha 90.00
_cell_angle_beta 90.00
_cell_angle_gamma 152.38
loop_
_space_group_symop_operation_xyz
'x,y,z'
loop_
_atom_site_label
_atom_site_type_symbol
_atom_site_fract_x
_atom_site_fract_y
_atom_site_fract_z
Zr1 Zr 0.042 0.958 0.750
Zr2 Zr 0.353 0.647 0.750
Zr3 Zr 0.647 0.353 0.250
Zr4 Zr 0.958 0.042 0.250
Se1 Se 0.305 0.695 0.250
Se2 Se 0.695 0.305 0.750
# Uncorrected energy: -7.6681 eV per atom
# Density of states at the Fermi level: 3.97 states/eV per cell
# Energy relative to the elements, uncorrected: -77.9 kJ/mol of atoms
# Space-group type: Cmcm, No. 63
# Total magnetic moment: 0.0 μB/f.u.

No. 2
# GGA-PBE Zr2Se, relaxed
data_Zr2Se
_space_group_name_H-M_alt 'P 1'
_space_group_IT_number 1
_cell_length_a 5.761
_cell_length_b 6.638
_cell_length_c 3.579
_cell_angle_alpha 90.00
_cell_angle_beta 90.00
_cell_angle_gamma 90.00
loop_
_space_group_symop_operation_xyz
'x,y,z'
loop_
_atom_site_label
_atom_site_type_symbol
_atom_site_fract_x
_atom_site_fract_y
_atom_site_fract_z
Zr1 Zr 0.212 0.150 0.000
Zr2 Zr 0.288 0.650 0.500
Zr3 Zr 0.712 0.350 0.500
Zr4 Zr 0.788 0.850 0.000
Se1 Se 0.000 0.500 0.000
Se2 Se 0.500 0.000 0.500
# Uncorrected energy: -7.5423 eV per atom
# Density of states at the Fermi level: 3.00 states/eV per cell
# Energy relative to the elements, uncorrected: -65.8 kJ/mol of atoms
# Space-group type: Pnnm, No. 58
# Total magnetic moment: 0.0 μB/f.u.

No. 3
# GGA-PBE Zr2Se, relaxed
data_Zr2Se
_space_group_name_H-M_alt 'P 1'
_space_group_IT_number 1
_cell_length_a 3.551
_cell_length_b 3.551
_cell_length_c 6.075
_cell_angle_alpha 90.00
_cell_angle_beta 90.00
_cell_angle_gamma 120.00
loop_
_space_group_symop_operation_xyz
'x,y,z'
loop_
_atom_site_label
_atom_site_type_symbol
_atom_site_fract_x
_atom_site_fract_y
_atom_site_fract_z
Zr1 Zr 0.333 0.667 0.306
Zr2 Zr 0.667 0.333 0.694
Se1 Se 0.000 0.000 0.000
# Uncorrected energy: -7.6844 eV per atom
# Density of states at the Fermi level: 0.71 states/eV per cell
# Energy relative to the elements, uncorrected: -79.5 kJ/mol of atoms
# Space-group type: P-3m1, No. 164
# Total magnetic moment: 0.0 μB/f.u.

No. 4
# GGA-PBE ZrSe3, relaxed
data_ZrSe3
_space_group_name_H-M_alt 'P 1'
_space_group_IT_number 1
_cell_length_a 9.073
_cell_length_b 9.073
_cell_length_c 9.073
_cell_angle_alpha 22.80
_cell_angle_beta 22.80
_cell_angle_gamma 22.80
loop_
_space_group_symop_operation_xyz
'x,y,z'
loop_
_atom_site_label
_atom_site_type_symbol
_atom_site_fract_x
_atom_site_fract_y
_atom_site_fract_z
Zr1 Zr 0.000 0.000 0.000
Se1 Se 0.269 0.269 0.269
Se2 Se 0.500 0.500 0.500
Se3 Se 0.731 0.731 0.731
# Uncorrected energy: -5.3064 eV per atom
# Density of states at the Fermi level: 2.83 states/eV per cell
# Energy relative to the elements, uncorrected: -53.6 kJ/mol of atoms
# Space-group type: R-3m, No. 166
# Total magnetic moment: 0.0 μB/f.u.

No. 5
# GGA-PBE Zr3Se, relaxed
data_Zr3Se
_space_group_name_H-M_alt 'P 1'
_space_group_IT_number 1
_cell_length_a 7.560
_cell_length_b 7.560
_cell_length_c 3.388
_cell_angle_alpha 90.00
_cell_angle_beta 90.00
_cell_angle_gamma 91.67
loop_
_space_group_symop_operation_xyz
'x,y,z'
loop_
_atom_site_label
_atom_site_type_symbol
_atom_site_fract_x
_atom_site_fract_y
_atom_site_fract_z
Zr1 Zr 0.123 0.877 0.750
Zr2 Zr 0.134 0.379 0.750
Zr3 Zr 0.379 0.134 0.250
Zr4 Zr 0.621 0.866 0.750
Zr5 Zr 0.866 0.621 0.250
Zr6 Zr 0.877 0.123 0.250
Se1 Se 0.363 0.637 0.750
Se2 Se 0.637 0.363 0.250
# E above lowest polymorph: 0.5530 eV/atom
# Uncorrected energy: -7.4289 eV per atom
# Density of states at the Fermi level: 11.21 states/eV per cell
# Energy relative to the elements, uncorrected: -14.2 kJ/mol of atoms
# Space-group type: Cmcm, No. 63
# Total magnetic moment: 0.0 μB/f.u.

No. 6
# GGA-PBE Zr2Se, relaxed
data_Zr2Se
_space_group_name_H-M_alt 'P 1'
_space_group_IT_number 1
_cell_length_a 6.104
_cell_length_b 6.104
_cell_length_c 6.104
_cell_angle_alpha 148.12
_cell_angle_beta 148.12
_cell_angle_gamma 45.71
loop_
_space_group_symop_operation_xyz
'x,y,z'
loop_
_atom_site_label
_atom_site_type_symbol
_atom_site_fract_x
_atom_site_fract_y
_atom_site_fract_z
Zr1 Zr 0.147 0.147 0.000
Zr2 Zr 0.853 0.853 0.000
Se1 Se 0.500 0.500 0.000
# Uncorrected energy: -7.4827 eV per atom
# Density of states at the Fermi level: 2.60 states/eV per cell
# Energy relative to the elements, uncorrected: -60.1 kJ/mol of atoms
# Space-group type: I4/mmm, No. 139
# Total magnetic moment: 0.0 μB/f.u.

No. 7
# GGA-PBE Zr3Se, relaxed
data_Zr3Se
_space_group_name_H-M_alt 'P 1'
_space_group_IT_number 1
_cell_length_a 3.288
_cell_length_b 3.288
_cell_length_c 8.208
_cell_angle_alpha 90.00
_cell_angle_beta 90.00
_cell_angle_gamma 99.91
loop_
_space_group_symop_operation_xyz
'x,y,z'
loop_
_atom_site_label
_atom_site_type_symbol
_atom_site_fract_x
_atom_site_fract_y
_atom_site_fract_z
Zr1 Zr 0.000 0.000 0.000
Zr2 Zr 0.500 0.500 0.275
Zr3 Zr 0.500 0.500 0.725
Se1 Se 0.000 0.000 0.500
# E above lowest polymorph: 0.2501 eV/atom
# Uncorrected energy: -7.7319 eV per atom
# Density of states at the Fermi level: 3.49 states/eV per cell
# Energy relative to the elements, uncorrected: -43.4 kJ/mol of atoms
# Space-group type: Cmmm, No. 65
# Total magnetic moment: 0.0 μB/f.u.

No. 8
# GGA-PBE ZrSe, relaxed
data_ZrSe
_space_group_name_H-M_alt 'P 1'
_space_group_IT_number 1
_cell_length_a 3.643
_cell_length_b 3.643
_cell_length_c 8.931
_cell_angle_alpha 90.00
_cell_angle_beta 90.00
_cell_angle_gamma 120.00
loop_
_space_group_symop_operation_xyz
'x,y,z'
loop_
_atom_site_label
_atom_site_type_symbol
_atom_site_fract_x
_atom_site_fract_y
_atom_site_fract_z
Zr1 Zr 0.333 0.667 0.148
Zr2 Zr 0.667 0.333 0.852
Se1 Se 0.333 0.667 0.672
Se2 Se 0.667 0.333 0.328
# Uncorrected energy: -6.7726 eV per atom
# Density of states at the Fermi level: 4.68 states/eV per cell
# Energy relative to the elements, uncorrected: -73.0 kJ/mol of atoms
# Space-group type: P-3m1, No. 164
# Total magnetic moment: 0.0 μB/f.u.

No. 9
# GGA-PBE Zr3Se, relaxed
data_Zr3Se
_space_group_name_H-M_alt 'P 1'
_space_group_IT_number 1
_cell_length_a 4.754
_cell_length_b 4.754
_cell_length_c 3.656
_cell_angle_alpha 90.00
_cell_angle_beta 90.00
_cell_angle_gamma 90.00
loop_
_space_group_symop_operation_xyz
'x,y,z'
loop_
_atom_site_label
_atom_site_type_symbol
_atom_site_fract_x
_atom_site_fract_y
_atom_site_fract_z
Zr1 Zr 0.000 0.000 0.000
Zr2 Zr 0.000 0.500 0.500
Zr3 Zr 0.500 0.000 0.500
Se1 Se 0.500 0.500 0.000
# E above lowest polymorph: 0.3565 eV/atom
# Uncorrected energy: -7.6255 eV per atom
# Density of states at the Fermi level: 3.84 states/eV per cell
# Energy relative to the elements, uncorrected: -33.1 kJ/mol of atoms
# Space-group type: P4/mmm, No. 123
# Total magnetic moment: 0.0 μB/f.u.

No. 10
# GGA-PBE Zr2Se, relaxed
data_Zr2Se
_space_group_name_H-M_alt 'P 1'
_space_group_IT_number 1
_cell_length_a 5.404
_cell_length_b 5.404
_cell_length_c 7.048
_cell_angle_alpha 99.77
_cell_angle_beta 99.77
_cell_angle_gamma 37.62
loop_
_space_group_symop_operation_xyz
'x,y,z'
loop_
_atom_site_label
_atom_site_type_symbol
_atom_site_fract_x
_atom_site_fract_y
_atom_site_fract_z
Zr1 Zr 0.000 0.000 0.000
Zr2 Zr 0.069 0.069 0.554
Zr3 Zr 0.346 0.346 0.277
Zr4 Zr 0.719 0.719 0.907
Se1 Se 0.370 0.370 0.680
Se2 Se 0.631 0.631 0.281
# Uncorrected energy: -7.6229 eV per atom
# Density of states at the Fermi level: 4.75 states/eV per cell
# Energy relative to the elements, uncorrected: -73.6 kJ/mol of atoms
# Space-group type: Cm, No. 8
# Total magnetic moment: 0.0 μB/f.u.

No. 11
# GGA-PBE ZrSe, relaxed
data_ZrSe
_space_group_name_H-M_alt 'P 1'
_space_group_IT_number 1
_cell_length_a 3.844
_cell_length_b 6.142
_cell_length_c 6.142
_cell_angle_alpha 109.35
_cell_angle_beta 90.00
_cell_angle_gamma 90.00
loop_
_space_group_symop_operation_xyz
'x,y,z'
loop_
_atom_site_label
_atom_site_type_symbol
_atom_site_fract_x
_atom_site_fract_y
_atom_site_fract_z
Zr1 Zr 0.000 0.000 0.000
Zr2 Zr 0.500 0.288 0.802
Zr3 Zr 0.500 0.802 0.288
Se1 Se 0.000 0.131 0.467
Se2 Se 0.000 0.467 0.131
Se3 Se 0.500 0.727 0.727
# Uncorrected energy: -7.0035 eV per atom
# Density of states at the Fermi level: 3.71 states/eV per cell
# Energy relative to the elements, uncorrected: -95.2 kJ/mol of atoms
# Space-group type: Amm2, No. 38
# Total magnetic moment: 0.0 μB/f.u.

No. 12
# GGA-PBE Zr3Se2, relaxed
data_Zr3Se2
_space_group_name_H-M_alt 'P 1'
_space_group_IT_number 1
_cell_length_a 7.482
_cell_length_b 7.482
_cell_length_c 7.482
_cell_angle_alpha 49.89
_cell_angle_beta 49.89
_cell_angle_gamma 49.89
loop_
_space_group_symop_operation_xyz
'x,y,z'
loop_
_atom_site_label
_atom_site_type_symbol
_atom_site_fract_x
_atom_site_fract_y
_atom_site_fract_z
Zr1 Zr 0.082 0.750 0.418
Zr2 Zr 0.250 0.582 0.918
Zr3 Zr 0.418 0.082 0.750
Zr4 Zr 0.582 0.918 0.250
Zr5 Zr 0.750 0.418 0.082
Zr6 Zr 0.918 0.250 0.582
Se1 Se 0.164 0.164 0.164
Se2 Se 0.336 0.336 0.336
Se3 Se 0.664 0.664 0.664
Se4 Se 0.836 0.836 0.836
# E above lowest polymorph: 0.0325 eV/atom
# Uncorrected energy: -7.2735 eV per atom
# Density of states at the Fermi level: 6.28 states/eV per cell
# Energy relative to the elements, uncorrected: -72.4 kJ/mol of atoms
# Space-group type: R-3c, No. 167
# Total magnetic moment: 0.0 μB/f.u.

No. 13
# GGA-PBE ZrSe2, relaxed
data_ZrSe2
_space_group_name_H-M_alt 'P 1'
_space_group_IT_number 1
_cell_length_a 3.804
_cell_length_b 3.804
_cell_length_c 6.685
_cell_angle_alpha 90.00
_cell_angle_beta 90.00
_cell_angle_gamma 120.00
loop_
_space_group_symop_operation_xyz
'x,y,z'
loop_
_atom_site_label
_atom_site_type_symbol
_atom_site_fract_x
_atom_site_fract_y
_atom_site_fract_z
Zr1 Zr 0.000 0.000 0.000
Se1 Se 0.333 0.667 0.238
Se2 Se 0.667 0.333 0.762
# Uncorrected energy: -6.5082 eV per atom
# Density of states at the Fermi level: 0.04 states/eV per cell
# Energy relative to the elements, uncorrected: -128.9 kJ/mol of atoms
# Space-group type: P-3m1, No. 164
# Total magnetic moment: 0.0 μB/f.u.